Record 1
First-principles (GGA-PBE) data for a geometry-optimized TiVCo5 structure, as listed in Alexandria.

Cell lengths 3.8557, 3.8557, 5.8308 Å; angles 90.00, 90.00, 90.00 degrees
Last column: nearest neighbours and their distance in Å.
Positions (direct):
Ti 0.0000 0.0000 0.5000  12 Co 2.50-2.73
V 0.5000 0.5000 0.0000  8 Co 2.33
Co 0.0000 0.5000 0.7743  2 V 2.33, 2 Ti 2.50, 2 Co 2.50
Co 0.0000 0.5000 0.2257  2 V 2.33, 2 Ti 2.50, 2 Co 2.50
Co 0.5000 0.0000 0.7743  2 V 2.33, 2 Co 2.50, 2 Ti 2.50
Co 0.5000 0.0000 0.2257  2 V 2.33, 2 Co 2.50, 2 Ti 2.50
Co 0.5000 0.5000 0.5000  8 Co 2.50, 4 Ti 2.73

The energy is -7.43 eV/atom. As for the space group: P4/mmm. The magnetic moment comes out at 3.23 μB/cell.

Record 2
First-principles (GGA-PBE) data for a geometry-optimized K4TlAu4 structure, as listed in Alexandria.

Cell lengths 6.7213, 9.7736, 9.7736 Å; angles 90.00, 90.00, 90.00 degrees
Last column: nearest neighbours and their distance in Å.
Positions (direct):
K 0.1107 0.5438 0.1753  5 Au 3.33-3.69
K 0.1107 0.9562 0.3247  5 Au 3.33-3.69
K 0.6107 0.8247 0.0438  5 Au 3.33-3.69
K 0.6107 0.6753 0.4562  5 Au 3.33-3.69
K 0.8893 0.4562 0.8247  5 Au 3.33-3.69
K 0.8893 0.0438 0.6753  5 Au 3.33-3.69
K 0.3893 0.1753 0.9562  5 Au 3.33-3.69
K 0.3893 0.3247 0.5438  5 Au 3.33-3.69
Tl 0.7500 0.2500 0.2500  4 Au 2.85
Tl 0.2500 0.7500 0.7500  4 Au 2.85
Au 0.1016 0.6250 0.5066  1 Au 2.80, 1 Tl 2.85
Au 0.1016 0.8750 0.9934  1 Au 2.80, 1 Tl 2.85
Au 0.6016 0.4934 0.1250  1 Au 2.80, 1 Tl 2.85
Au 0.6016 0.0066 0.3750  1 Au 2.80, 1 Tl 2.85
Au 0.8984 0.3750 0.4934  1 Au 2.80, 1 Tl 2.85
Au 0.8984 0.1250 0.0066  1 Au 2.80, 1 Tl 2.85
Au 0.3984 0.5066 0.8750  1 Au 2.80, 1 Tl 2.85
Au 0.3984 0.9934 0.6250  1 Au 2.80, 1 Tl 2.85

The energy is -2.44 eV/atom. As for the space group: P4_2/n. The magnetic moment comes out at 0.00 μB/cell.

Record 3
First-principles (GGA-PBE) data for a geometry-optimized Sb2WIN structure, as listed in Alexandria.

Cell lengths 5.5078, 3.8953, 5.5078 Å; angles 90.00, 90.00, 90.00 degrees
Last column: nearest neighbours and their distance in Å.
Positions (direct):
I 0.5000 0.5000 0.5000  8 Sb 3.37
Sb 0.0000 0.0000 0.5000  2 W 2.75
Sb 0.5000 0.0000 0.0000  2 W 2.75
W 0.0000 0.0000 0.0000  2 N 1.95
N 0.0000 0.5000 0.0000  2 W 1.95

The value obtained for the energy above the lowest structure with this stoichiometry is 0.00 eV/f.u. As for the space group: P4/mmm. The magnetic moment comes out at 0.00 μB/cell. The calculation puts the formation energy (no corrections) at 36 kJ/mol of atoms.

Record 4
First-principles (GGA-PBE) data for a geometry-optimized Pr8NdSn6 structure, as listed in Alexandria.

Cell lengths 9.4530, 9.4530, 8.6077 Å; angles 56.69, 56.69, 60.00 degrees
Last column: nearest neighbours and their distance in Å.
Positions (direct):
Pr 0.5629 0.2306 0.3098  5 Sn 3.23-3.41
Pr 0.7694 0.1032 0.6902  5 Sn 3.23-3.41
Pr 0.1032 0.4371 0.6902  5 Sn 3.23-3.41
Pr 0.6666 0.6666 0.0003  6 Sn 3.43, 6 Pr 3.76
Pr 0.3334 0.3334 0.9997  6 Sn 3.43, 6 Pr 3.76
Pr 0.8968 0.5629 0.3098  5 Sn 3.23-3.41
Pr 0.2306 0.8968 0.3098  5 Sn 3.23-3.41
Pr 0.4371 0.7694 0.6902  5 Sn 3.23-3.41
Nd 0.0000 0.0000 0.0000  6 Sn 3.42, 6 Pr 3.77
Sn 0.4001 0.0676 0.7968  7 Pr 3.23-3.43, 1 Nd 3.42
Sn 0.9324 0.2645 0.2032  7 Pr 3.23-3.43, 1 Nd 3.42
Sn 0.2645 0.5999 0.2032  7 Pr 3.23-3.43, 1 Nd 3.42
Sn 0.7355 0.4001 0.7968  7 Pr 3.23-3.43, 1 Nd 3.42
Sn 0.0676 0.7355 0.7968  7 Pr 3.23-3.43, 1 Nd 3.42
Sn 0.5999 0.9324 0.2032  7 Pr 3.23-3.43, 1 Nd 3.42

The energy is -5.04 eV/atom. As for the space group: R-3. The magnetic moment comes out at 0.00 μB/cell.

Record 5
First-principles (GGA-PBE) data for a geometry-optimized Ce2Ga2Ge structure, as listed in Alexandria.

Cell lengths 4.2764, 5.9268, 10.0795 Å; angles 83.56, 77.75, 68.85 degrees
Last column: nearest neighbours and their distance in Å.
Positions (direct):
Ce 0.7102 0.2236 0.3560  4 Ge 3.13-3.31, 7 Ga 3.14-3.36
Ce 0.8957 0.2988 0.9098  6 Ga 3.04-3.27, 2 Ge 3.15
Ce 0.2898 0.7764 0.6440  4 Ge 3.13-3.31, 7 Ga 3.14-3.36
Ce 0.1043 0.7012 0.0902  6 Ga 3.04-3.27, 2 Ge 3.15
Ga 0.0135 0.3708 0.6022  1 Ga 2.42, 2 Ge 2.51
Ga 0.6308 0.8572 0.8813  1 Ge 2.57, 1 Ga 2.87
Ga 0.9865 0.6292 0.3978  1 Ga 2.42, 2 Ge 2.51
Ga 0.3692 0.1428 0.1187  1 Ge 2.57, 1 Ga 2.87
Ge 0.5669 0.1795 0.6867  3 Ga 2.51-2.57
Ge 0.4331 0.8205 0.3133  3 Ga 2.51-2.57

The energy is -5.08 eV/atom. As for the space group: C2/m. The magnetic moment comes out at 2.94 μB/cell.

Record 6
First-principles (GGA-PBE) data for a geometry-optimized MgBe2Hg structure, as listed in Alexandria.

Cell lengths 3.8977, 3.1904, 5.0546 Å; angles 70.96, 90.00, 90.00 degrees
Last column: nearest neighbours and their distance in Å.
Positions (direct):
Be 0.0000 0.1805 0.0124  2 Be 2.23
Be 0.5000 0.0664 0.2380  2 Be 2.23
Mg 0.5000 0.7876 0.8072  7 Be 2.60-2.72
Hg 0.0000 0.4654 0.4424  7 Be 2.59-2.72

The value obtained for the energy above the lowest structure with this stoichiometry is 0.16 eV/f.u. As for the space group: Pm. The magnetic moment comes out at 0.00 μB/cell.

Record 7
First-principles (GGA-PBE) data for a geometry-optimized Ta3Se2S4 structure, as listed in Alexandria.

Cell lengths 3.3832, 3.3832, 21.1797 Å; angles 90.00, 90.00, 120.00 degrees
Last column: nearest neighbours and their distance in Å.
Positions (direct):
Ta 0.0000 0.0000 0.9795  6 Se 2.60
Ta 0.0000 0.0000 0.3288  6 S 2.49-2.50
Ta 0.6667 0.3333 0.6507  6 S 2.49-2.50
Se 0.6667 0.3333 0.0602  3 Ta 2.60
Se 0.6667 0.3333 0.8987  3 Ta 2.60
S 0.0000 0.0000 0.5776  3 Ta 2.49
S 0.6667 0.3333 0.4019  3 Ta 2.49
S 0.6667 0.3333 0.2555  3 Ta 2.50
S 0.0000 0.0000 0.7241  3 Ta 2.50

As for the space group: P3m1. The magnetic moment comes out at 0.18 μB/cell. The calculation puts the formation energy (no corrections) at -93 kJ/mol of atoms.

Record 8
First-principles (GGA-PBE) data for a geometry-optimized Tm7Ag2Bi2 structure, as listed in Alexandria.

Cell lengths 7.0299, 6.9843, 7.0299 Å; angles 90.00, 101.10, 90.00 degrees
Last column: nearest neighbours and their distance in Å.
Positions (direct):
Tm 0.0000 0.2528 0.5000  2 Ag 2.87
Tm 0.5000 0.7472 0.0000  2 Ag 2.87
Tm 0.0000 0.7472 0.5000  2 Ag 2.87
Tm 0.5000 0.2528 0.0000  2 Ag 2.87
Tm 0.0000 0.0000 0.0000  2 Ag 3.04
Tm 0.5000 0.7587 0.5000  2 Ag 2.93, 2 Bi 3.26
Tm 0.5000 0.2413 0.5000  2 Ag 2.93, 2 Bi 3.26
Ag 0.7203 0.0000 0.2797  7 Tm 2.87-3.04
Ag 0.2797 0.0000 0.7203  7 Tm 2.87-3.04
Bi 0.8041 0.5000 0.8041  6 Tm 3.25-3.26, 1 Bi 3.50
Bi 0.1959 0.5000 0.1959  6 Tm 3.25-3.26, 1 Bi 3.50

The energy is -4.17 eV/atom. As for the space group: Cmmm. The magnetic moment comes out at 0.00 μB/cell.

Record 9
First-principles (GGA-PBE) data for a geometry-optimized Mn2BeBSe structure, as listed in Alexandria.

Cell lengths 4.0945, 3.2686, 4.0945 Å; angles 90.00, 90.00, 90.00 degrees
Last column: nearest neighbours and their distance in Å.
Positions (direct):
Be 0.0000 0.0000 0.0000  2 B 1.63
B 0.0000 0.5000 0.0000  2 Be 1.63
Mn 0.0000 0.0000 0.5000  2 Be 2.05
Mn 0.5000 0.0000 0.0000  2 Be 2.05
Se 0.5000 0.5000 0.5000  8 Mn 2.62, 4 B 2.90

As for the space group: P4/mmm. The magnetic moment comes out at 0.00 μB/cell. The calculation puts the formation energy (no corrections) at 74 kJ/mol of atoms.

Record 10
First-principles (GGA-PBE) data for a geometry-optimized SmCdCu2 structure, as listed in Alexandria.

Cell lengths 4.4890, 6.2896, 11.0063 Å; angles 90.00, 90.00, 90.00 degrees
Last column: nearest neighbours and their distance in Å.
Positions (direct):
Sm 0.7500 0.2752 0.3347  7 Cu 2.95-3.21, 4 Cd 3.23-3.28
Sm 0.2500 0.7248 0.6653  7 Cu 2.95-3.21, 4 Cd 3.23-3.28
Sm 0.7500 0.7752 0.1653  7 Cu 2.95-3.21, 4 Cd 3.23-3.28
Sm 0.2500 0.2248 0.8347  7 Cu 2.95-3.21, 4 Cd 3.23-3.28
Cd 0.7500 0.3016 0.0409  6 Cu 2.80-2.85
Cd 0.2500 0.6984 0.9591  6 Cu 2.80-2.85
Cd 0.7500 0.8016 0.4591  6 Cu 2.80-2.85
Cd 0.2500 0.1984 0.5409  6 Cu 2.80-2.85
Cu 0.2500 0.9450 0.3299  2 Cu 2.48-2.52
Cu 0.7500 0.0550 0.6701  2 Cu 2.48-2.52
Cu 0.2500 0.4450 0.1701  2 Cu 2.48-2.52
Cu 0.7500 0.5550 0.8299  2 Cu 2.48-2.52
Cu 0.2500 0.0649 0.1115  2 Cu 2.48-2.52
Cu 0.7500 0.9351 0.8885  2 Cu 2.48-2.52
Cu 0.2500 0.5649 0.3885  2 Cu 2.48-2.52
Cu 0.7500 0.4351 0.6115  2 Cu 2.48-2.52

The energy is -3.63 eV/atom. As for the space group: Pnma. The magnetic moment comes out at 0.00 μB/cell.

Record 11
First-principles (GGA-PBE) data for a geometry-optimized Sr2ReP structure, as listed in Alexandria.

Cell lengths 5.0427, 5.0427, 5.0427 Å; angles 60.00, 60.00, 60.00 degrees
Last column: nearest neighbours and their distance in Å.
Positions (direct):
Sr 0.0000 0.0000 0.0000  4 Sr 3.09, 4 Re 3.09
Sr 0.7500 0.7500 0.7500  4 Sr 3.09, 4 P 3.09
Re 0.2500 0.2500 0.2500  4 Sr 3.09, 4 P 3.09
P 0.5000 0.5000 0.5000  4 Sr 3.09, 4 Re 3.09

The energy is -4.57 eV/atom. As for the space group: F-43m. The magnetic moment comes out at 2.05 μB/cell.

Question: Which value of magnetic moment does entry 8 give?
Answer: 0.00 μB/cell

Question: Which value of magnetic moment does entry 6 give?
Answer: 0.00 μB/cell